Material: TmMg2SbO6
Method: DFT, GGA-PBE
State: optimized geometry

Cell: 5.276 5.670 9.470 Å, 90.00 123.48 90.00°
Sites, in units of the cell vectors:
Tm 0.000 0.000 0.000
Tm 0.000 0.500 0.500
Mg 0.300 0.005 0.747
Mg 0.300 0.495 0.247
Mg 0.700 0.505 0.753
Mg 0.700 0.995 0.253
Sb 0.500 0.000 0.500
Sb 0.500 0.500 0.000
O 0.094 0.005 0.270
O 0.094 0.495 0.770
O 0.351 0.737 0.090
O 0.351 0.763 0.590
O 0.361 0.246 0.590
O 0.361 0.254 0.090
O 0.639 0.746 0.910
O 0.639 0.754 0.410
O 0.649 0.237 0.410
O 0.649 0.263 0.910
O 0.906 0.505 0.230
O 0.906 0.995 0.730

Calculated values
The total energy is -65.73 eV per formula unit.